BaMn2Cl6: relaxed, GGA-PBE.

Crystal system: monoclinic
Energy, eV per atom: -5.00
DOS at the Fermi energy, states/eV per cell: 0.0
E_form (uncorrected), meV per atom: -1522.1

Cell lengths 5.161, 7.378, 8.747 Å; angles 104.05, 90.00, 110.47 degrees
Last column: magnetic moment on the atom in μB.
Positions (direct):
Ba: 0.000 0.000 0.500  0.01
Mn: 0.766 0.532 0.843  4.40
Mn: 0.234 0.468 0.157  4.40
Cl: 0.232 0.463 0.874  0.08
Cl: 0.768 0.537 0.126  0.08
Cl: 0.079 0.157 0.206  0.06
Cl: 0.634 0.268 0.603  0.04
Cl: 0.921 0.843 0.794  0.06
Cl: 0.366 0.732 0.397  0.04